Entry 1:
Computed, not measured: an optimized crystal structure of BaBeRe2 at the PBE level of DFT.

Unit cell a=5.800 b=4.554 c=3.155 alpha=86.99 beta=75.44 gamma=112.23
Positions (direct):
1 Be 0.500 0.000 0.500
2 Re 0.000 0.000 0.000
3 Re 0.000 0.500 0.500
4 Ba 0.500 0.500 0.000

Its energy of formation from the pure elements is 554 kJ/mol of formula units. As for the symmetry: C2/m. As for the uncorrected energy: -0.4557 Ry/atom.

Entry 2:
Computed, not measured: an optimized crystal structure of La9Nd4Dy at the PBE level of DFT.

Unit cell a=11.667 b=10.094 c=10.094 alpha=120.00 beta=90.00 gamma=90.00
Positions (direct):
1 La 0.969 0.207 0.414
2 La 0.031 0.793 0.207
3 La 0.469 0.793 0.207
4 La 0.969 0.207 0.793
5 La 0.750 0.540 0.079
6 La 0.031 0.414 0.207
7 Nd 0.750 0.227 0.114
8 La 0.750 0.540 0.460
9 La 0.531 0.586 0.793
10 La 0.531 0.207 0.793
11 Nd 0.250 0.773 0.886
12 La 0.469 0.793 0.586
13 La 0.469 0.414 0.207
14 La 0.750 0.921 0.460
15 La 0.531 0.207 0.414
16 La 0.969 0.586 0.793
17 Nd 0.750 0.886 0.773
18 La 0.250 0.460 0.540
19 Nd 0.000 0.000 0.000
20 Nd 0.500 0.000 0.000
21 Dy 0.750 0.333 0.667
22 Nd 0.250 0.114 0.227
23 La 0.250 0.460 0.921
24 Nd 0.250 0.114 0.886
25 La 0.250 0.079 0.540
26 La 0.031 0.793 0.586
27 Nd 0.750 0.886 0.114
28 Dy 0.250 0.667 0.333

Its energy of formation from the pure elements is 189 kJ/mol of formula units. As for the symmetry: P6_3/mmc. As for the uncorrected energy: -0.3468 Ry/atom.

Entry 3:
Computed, not measured: an optimized crystal structure of BaHfTe2I at the PBE level of DFT.

Unit cell a=6.415 b=6.415 c=6.285 alpha=90.00 beta=90.00 gamma=90.00
Positions (direct):
1 Ba 0.000 0.000 0.000
2 Hf 0.500 0.500 0.500
3 I 0.000 0.000 0.500
4 Te 0.500 0.000 0.000
5 Te 0.000 0.500 0.000

As for the symmetry: P4/mmm. As for the uncorrected energy: -0.2402 Ry/atom.

Entry 4:
Computed, not measured: an optimized crystal structure of CdAsI2 at the PBE level of DFT.

Unit cell a=9.061 b=9.061 c=9.030 alpha=59.89 beta=59.89 gamma=90.00
Positions (direct):
1 Cd 0.000 0.000 0.000
2 I 0.875 0.625 0.750
3 I 0.375 0.625 0.250
4 I 0.375 0.125 0.250
5 As 0.500 0.500 0.000
6 As 0.250 0.750 0.500
7 Cd 0.750 0.250 0.500
8 I 0.375 0.625 0.750

As for the symmetry: I4_1/amd. As for the uncorrected energy: -0.1413 Ry/atom.

Entry 5:
Computed, not measured: an optimized crystal structure of PtPb2 at the PBE level of DFT.

Unit cell a=8.566 b=8.566 c=5.093 alpha=90.00 beta=90.00 gamma=155.94
Positions (direct):
1 Pt 0.436 0.564 0.750
2 Pb 0.797 0.203 0.750
3 Pb 0.203 0.797 0.250
4 Pt 0.564 0.436 0.250
5 Pb 0.073 0.927 0.750
6 Pb 0.927 0.073 0.250

Its energy of formation from the pure elements is -16 kJ/mol of formula units. As for the symmetry: Cmcm. As for the uncorrected energy: -0.3337 Ry/atom.

Entry 6:
Computed, not measured: an optimized crystal structure of La2AlAu at the PBE level of DFT.

Unit cell a=3.465 b=3.465 c=8.899 alpha=90.00 beta=90.00 gamma=90.00
Positions (direct):
1 Au 0.500 0.500 0.698
2 Al 0.000 0.000 0.555
3 La 0.000 0.000 0.942
4 La 0.500 0.500 0.305

Its energy of formation from the pure elements is -130 kJ/mol of formula units. As for the symmetry: P4mm. As for the uncorrected energy: -0.3347 Ry/atom.